A plane-wave DFT calculation with GGA-PBE was carried out for an optimized crystal structure of MnMoOs2.

Calculated values
Total moment   2.13 μB per formula unit
Energy of formation   0.76 eV/atom
Theoretical density   13.916 g/cm3
Space group   No. 122

a b c (Å): 9.1456 9.1456 9.1456
angles (deg): 155.96 155.96 34.25
With the nearest neighbours (Å) after each atom.
Positions (direct):
Mn 0.0000 0.0000 0.0000  4 Os 2.51, 4 Mo 2.69
Mn 0.7500 0.2500 0.5000  4 Os 2.51, 4 Mo 2.69
Mo 0.2500 0.7500 0.5000  4 Os 2.63, 4 Mn 2.69
Mo 0.5000 0.5000 0.0000  4 Os 2.63, 4 Mn 2.69
Os 0.0847 0.6250 0.9597  2 Os 2.49, 2 Mn 2.51, 2 Mo 2.63
Os 0.3750 0.3347 0.4597  2 Os 2.49, 2 Mn 2.51, 2 Mo 2.63
Os 0.6653 0.1250 0.0403  2 Os 2.49, 2 Mn 2.51, 2 Mo 2.63
Os 0.8750 0.9153 0.5403  2 Os 2.49, 2 Mn 2.51, 2 Mo 2.63